Below is a geometry-optimized TmBe17V structure, with properties calculated at the PBE level.

**Fermi-level density of states**: 0.307 states/eV/atom
**ΔE_f**: -2.30 eV per formula unit
**VASP energy**: -4.17 eV/atom

Cell and atoms, written as CIF:
```
data_TmBe17V
_chemical_formula_sum 'Tm3 Be51 V3'
_cell_length_a 7.4527
_cell_length_b 7.4527
_cell_length_c 10.8773
_cell_angle_alpha 90.00
_cell_angle_beta 90.00
_cell_angle_gamma 120.00
_space_group_name_H-M_alt 'R 3 m'
_space_group_IT_number 160
_space_group_name_Hall 'R 3 -2"'
loop_
_atom_site_label
_atom_site_fract_x
_atom_site_fract_y
_atom_site_fract_z
Tm1 0.0000 0.0000 0.0000
Be1 0.0000 0.0000 0.5595
Be2 0.0000 0.0000 0.7538
Be3 0.0017 0.5009 0.1600
Be4 0.0452 0.3736 0.3280
Be5 0.1694 0.3387 0.1513
Be6 0.1707 0.3414 0.8390
V1 0.0000 0.0000 0.3288
```